Below is crystalline BaZrFe2 at its relaxed geometry, with properties calculated at the PBE level.

## Properties
* total magnetic moment: 1.130 μB/atom
* energy relative to the elements: 0.439 eV/atom
* SG: P4mm, No. 99
* DOS(E_F): 4.40 states/eV per cell
* offset from the most stable computed form: 0.602 eV/f.u.
* energy: -6.41 eV/atom

a = 3.2449 Å, b = 3.2449 Å, c = 8.4675 Å
α = 90.00°, β = 90.00°, γ = 90.00°
With the nearest neighbours (Å) after each atom.
Atoms (fractional coordinates):
Ba (0.5000, 0.5000, 0.7925)  4 Ba 3.24, 5 Fe 3.39-3.62
Fe (0.0000, 0.0000, 0.0873)  4 Fe 2.55, 1 Zr 2.65
Fe (0.5000, 0.5000, 0.2199)  4 Fe 2.55, 4 Zr 2.76
Zr (0.0000, 0.0000, 0.4004)  5 Fe 2.65-2.76